1.
Material: NiMo2Br
Method: DFT, PBE
State: relaxed

Cell lengths 4.5536, 4.5536, 7.3853 Å; angles 60.37, 60.37, 41.13 degrees
Sites, in units of the cell vectors:
1 Br 0.2500 0.2500 0.2500
2 Ni 0.7500 0.7500 0.7500
3 Mo 0.5153 0.5153 0.6181
4 Mo 0.9847 0.9847 0.8819

- SG: C2/m, No. 12
- Calculated volume: 21.39 Å³/atom
- Raw formation energy: 1.99 eV per formula unit
- E_tot: -27.13 eV/cell
- DOS at the Fermi energy: 2.223 states/eV per cell

***

2.
Material: AcCd13
Method: DFT, PBE
State: relaxed

Cell lengths 9.8118, 9.8118, 9.8118 Å; angles 60.00, 60.00, 60.00 degrees
Sites, in units of the cell vectors:
1 Cd 0.6977 0.0575 0.9425
2 Cd 0.9425 0.0575 0.3023
3 Cd 0.1977 0.8023 0.4425
4 Cd 0.8023 0.4425 0.1977
5 Cd 0.0000 0.0000 0.0000
6 Cd 0.4425 0.1977 0.8023
7 Cd 0.8023 0.5575 0.4425
8 Cd 0.5575 0.1977 0.4425
9 Cd 0.3023 0.0575 0.6977
10 Cd 0.4425 0.5575 0.1977
11 Cd 0.3023 0.9425 0.0575
12 Cd 0.5575 0.4425 0.8023
13 Cd 0.1977 0.4425 0.5575
14 Cd 0.0575 0.6977 0.3023
15 Cd 0.9425 0.6977 0.0575
16 Cd 0.8023 0.1977 0.5575
17 Cd 0.5000 0.5000 0.5000
18 Cd 0.9425 0.3023 0.6977
19 Cd 0.6977 0.9425 0.3023
20 Cd 0.3023 0.6977 0.9425
21 Cd 0.0575 0.9425 0.6977
22 Ac 0.2500 0.2500 0.2500
23 Cd 0.6977 0.3023 0.0575
24 Ac 0.7500 0.7500 0.7500
25 Cd 0.0575 0.3023 0.9425
26 Cd 0.1977 0.5575 0.8023
27 Cd 0.4425 0.8023 0.5575
28 Cd 0.5575 0.8023 0.1977

- SG: Fm-3c, No. 226
- Calculated volume: 23.85 Å³/atom
- Formation enthalpy at 0 K: -91 meV per atom
- E_tot: -34.56 eV/cell
- DOS at the Fermi energy: 11.708 states/eV per cell

***

3.
Material: CsNaZn2Cl6
Method: DFT, PBE
State: relaxed

Cell lengths 6.5280, 10.3440, 10.3440 Å; angles 97.19, 84.70, 84.70 degrees
Sites, in units of the cell vectors:
1 Cs 0.2500 0.8745 0.1255
2 Cl 0.9650 0.4239 0.8090
3 Cl 0.0350 0.5761 0.1910
4 Cl 0.5350 0.1910 0.5761
5 Na 0.7500 0.5973 0.4027
6 Zn 0.1744 0.3756 0.2131
7 Cl 0.9795 0.3224 0.4053
8 Cl 0.2322 0.2116 0.0521
9 Cs 0.7500 0.1255 0.8745
10 Zn 0.6744 0.2131 0.3756
11 Cl 0.7678 0.7884 0.9479
12 Cl 0.7322 0.0521 0.2116
13 Zn 0.8256 0.6244 0.7869
14 Cl 0.5205 0.5947 0.6776
15 Cl 0.4650 0.8090 0.4239
16 Zn 0.3256 0.7869 0.6244
17 Cl 0.2678 0.9479 0.7884
18 Na 0.2500 0.4027 0.5973
19 Cl 0.0205 0.6776 0.5947
20 Cl 0.4795 0.4053 0.3224

- SG: C2/c, No. 15
- Calculated volume: 34.31 Å³/atom
- Raw formation energy: -14.61 eV per formula unit
- E_tot: -60.83 eV/cell
- DOS at the Fermi energy: 0.000 states/eV per cell

***

4.
Material: Sr5Mg3
Method: DFT, PBE
State: relaxed

Cell lengths 10.4432, 10.4433, 7.2950 Å; angles 90.00, 90.00, 120.00 degrees
Sites, in units of the cell vectors:
1 Mg 0.4022 0.4022 0.2500
2 Sr 0.3334 0.6666 0.0000
3 Mg 0.0000 0.5978 0.2500
4 Mg 0.0000 0.4022 0.7500
5 Sr 0.0000 0.2502 0.2500
6 Sr 0.2501 0.2501 0.7500
7 Mg 0.4022 0.0000 0.7500
8 Mg 0.5978 0.0000 0.2500
9 Sr 0.7499 0.7499 0.2500
10 Sr 0.7498 0.0000 0.7500
11 Sr 0.3334 0.6666 0.5000
12 Sr 0.6667 0.3334 0.5000
13 Sr 0.6667 0.3334 0.0000
14 Mg 0.5978 0.5978 0.7500
15 Sr 0.2502 0.0000 0.2500
16 Sr 0.0000 0.7498 0.7500

- SG: P6_3/mcm, No. 193
- Calculated volume: 43.06 Å³/atom
- Formation enthalpy at 0 K: -3 meV per atom
- E_tot: -26.44 eV/cell
- DOS at the Fermi energy: 17.276 states/eV per cell

***

5.
Material: La2ZnOsC
Method: DFT, PBE
State: relaxed

Cell lengths 5.3347, 5.3347, 3.9194 Å; angles 90.00, 90.00, 90.00 degrees
Sites, in units of the cell vectors:
1 Os 0.0000 0.0000 0.5000
2 La 0.5000 0.0000 0.0000
3 La 0.0000 0.5000 0.0000
4 C 0.0000 0.0000 0.0000
5 Zn 0.5000 0.5000 0.5000

- SG: P4/mmm, No. 123
- Calculated volume: 22.31 Å³/atom
- Formation enthalpy at 0 K: -264 meV per atom
- E_tot: -32.90 eV/cell
- DOS at the Fermi energy: 2.431 states/eV per cell

***

6.
Material: Rb2LaBeF6
Method: DFT, PBE
State: relaxed

Cell lengths 6.1291, 6.1291, 6.0875 Å; angles 59.77, 59.77, 90.00 degrees
Site moments in Bohr magnetons follow the coordinates.
Sites, in units of the cell vectors:
1 La 0.0000 0.0000 0.0000  0.52
2 F 0.7182 0.2818 0.0000  0.01
3 F 0.7182 0.7182 0.0000  0.01
4 F 0.2986 0.2986 0.4027  0.01
5 F 0.7014 0.7014 0.5973  0.01
6 F 0.2818 0.2818 0.0000  0.01
7 Be 0.5000 0.5000 0.0000  0.00
8 F 0.2818 0.7182 0.0000  0.01
9 Rb 0.2500 0.7500 0.5000  0.01
10 Rb 0.7500 0.2500 0.5000  0.01

- SG: I4/mmm, No. 139
- Calculated volume: 16.06 Å³/atom
- Raw formation energy: -28.90 eV per formula unit
- E_tot: -50.72 eV/cell
- DOS at the Fermi energy: 7.111 states/eV per cell

***

7.
Material: NpGeAu3
Method: DFT, PBE
State: relaxed

Cell lengths 6.1743, 5.9606, 7.6882 Å; angles 90.01, 133.74, 89.99 degrees
Site moments in Bohr magnetons follow the coordinates.
Sites, in units of the cell vectors:
1 Au 0.8355 0.7498 0.8741  -0.01
2 Np 0.4893 0.2498 0.6653  3.94
3 Au 0.1645 0.2502 0.1259  -0.01
4 Np 0.5107 0.7502 0.3347  3.94
5 Au 0.8296 0.9988 0.1892  0.00
6 Au 0.1704 0.0012 0.8108  0.00
7 Au 0.1705 0.4987 0.8107  0.00
8 Au 0.8295 0.5013 0.1893  0.00
9 Ge 0.2590 0.7500 0.5853  -0.02
10 Ge 0.7410 0.2500 0.4147  -0.02

- SG: P2_1/m, No. 11
- Calculated volume: 20.44 Å³/atom
- Formation enthalpy at 0 K: -131 meV per atom
- E_tot: -56.09 eV/cell
- DOS at the Fermi energy: 23.476 states/eV per cell

***

8.
Material: Er2MnCdC
Method: DFT, PBE
State: relaxed

Cell lengths 3.7976, 4.9819, 4.9819 Å; angles 90.00, 90.00, 90.00 degrees
Site moments in Bohr magnetons follow the coordinates.
Sites, in units of the cell vectors:
1 C 0.0000 0.0000 0.0000  -0.08
2 Er 0.0000 0.0000 0.5000  -0.12
3 Er 0.0000 0.5000 0.0000  -0.12
4 Mn 0.5000 0.0000 0.0000  1.54
5 Cd 0.5000 0.5000 0.5000  -0.03

- SG: P4/mmm, No. 123
- Calculated volume: 18.85 Å³/atom
- Formation enthalpy at 0 K: -282 meV per atom
- E_tot: -29.85 eV/cell
- DOS at the Fermi energy: 5.207 states/eV per cell

***

9.
Material: Pt2RhSe2
Method: DFT, PBE
State: relaxed

Cell lengths 6.9657, 6.9657, 3.5527 Å; angles 90.00, 90.00, 90.00 degrees
Sites, in units of the cell vectors:
1 Pt 0.1434 0.6434 0.5000
2 Pt 0.6434 0.8566 0.5000
3 Pt 0.8566 0.3566 0.5000
4 Rh 0.5000 0.5000 0.0000
5 Se 0.3295 0.8295 0.0000
6 Se 0.1705 0.3295 0.0000
7 Pt 0.3566 0.1434 0.5000
8 Se 0.8295 0.6705 0.0000
9 Se 0.6705 0.1705 0.0000
10 Rh 0.0000 0.0000 0.0000

- SG: P4/mbm, No. 127
- Calculated volume: 17.24 Å³/atom
- Raw formation energy: 1.01 eV per formula unit
- E_tot: -50.78 eV/cell
- DOS at the Fermi energy: 10.336 states/eV per cell

***

10.
Material: La4Tb3DyS8
Method: DFT, PBE
State: relaxed

Cell lengths 8.0301, 8.1255, 8.0302 Å; angles 119.61, 120.00, 90.00 degrees
Sites, in units of the cell vectors:
1 S 0.7570 0.2695 0.5141
2 Tb 0.5000 0.5000 0.5000
3 S 0.2430 0.7305 0.9875
4 S 0.7570 0.2695 0.0125
5 Dy 0.0000 0.5000 0.0000
6 La 0.5000 0.0000 0.0000
7 S 0.2554 0.2695 0.0125
8 La 0.0000 0.0000 0.5000
9 Tb 0.5000 0.5000 0.0000
10 S 0.2563 0.2688 0.5125
11 La 0.0000 0.0000 0.0000
12 Tb 0.0000 0.5000 0.5000
13 S 0.2430 0.7305 0.4859
14 La 0.5000 0.0000 0.5000
15 S 0.7446 0.7305 0.9875
16 S 0.7437 0.7312 0.4875

- SG: R-3m, No. 166
- Calculated volume: 23.29 Å³/atom
- Raw formation energy: -33.44 eV per formula unit
- E_tot: -104.66 eV/cell
- DOS at the Fermi energy: 8.682 states/eV per cell

***

11.
Material: Tb6DyY
Method: DFT, PBE
State: relaxed

Cell lengths 6.7424, 6.5498, 6.9428 Å; angles 103.14, 61.18, 89.66 degrees
Sites, in units of the cell vectors:
1 Tb 0.4520 0.2504 0.9998
2 Tb 0.9038 0.2718 0.5237
3 Tb 0.5741 0.7693 0.5211
4 Y 0.0000 0.0000 0.0000
5 Tb 0.5480 0.7496 0.0002
6 Tb 0.4259 0.2307 0.4789
7 Tb 0.0962 0.7282 0.4763
8 Dy 0.0000 0.5000 0.0000

- SG: P-1, No. 2
- Calculated volume: 32.40 Å³/atom
- Formation enthalpy at 0 K: 200 meV per atom
- E_tot: -37.25 eV/cell
- DOS at the Fermi energy: 13.956 states/eV per cell

***

12.
Material: Na3Th3MgSe8
Method: DFT, PBE
State: relaxed

Cell lengths 8.3707, 8.3702, 8.5872 Å; angles 119.19, 90.00, 120.00 degrees
Sites, in units of the cell vectors:
1 Th 0.5000 0.0000 0.5000
2 Se 0.2486 0.0121 0.2759
3 Se 0.7483 0.4967 0.7447
4 Se 0.7636 0.5272 0.2760
5 Na 0.0000 0.0000 0.0000
6 Na 0.0000 0.5000 0.0000
7 Se 0.2364 0.4728 0.7240
8 Th 0.5000 0.5000 0.5000
9 Se 0.7514 0.9879 0.7241
10 Se 0.2365 0.9879 0.7241
11 Se 0.7635 0.0121 0.2759
12 Se 0.2517 0.5033 0.2553
13 Na 0.5000 0.5000 0.0000
14 Th 0.0000 0.5000 0.5000
15 Mg 0.0000 0.0000 0.5000

- SG: R-3m, No. 166
- Calculated volume: 28.70 Å³/atom
- Raw formation energy: -22.17 eV per formula unit
- E_tot: -77.85 eV/cell
- DOS at the Fermi energy: 6.312 states/eV per cell